The following is a GGA-PBE calculation of ZrPd4W2 after structural relaxation, from the Alexandria database.

```
data_ZrPd4W2
_chemical_formula_sum 'Zr2 Pd8 W4'
_space_group_name_H-M_alt 'I 4/m m m'
_space_group_IT_number 139
_space_group_name_Hall '-I 4 2'
_cell_length_a 4.980
_cell_length_b 4.980
_cell_length_c 12.606
_cell_angle_alpha 90.00
_cell_angle_beta 90.00
_cell_angle_gamma 90.00
loop_
_atom_site_label
_atom_site_fract_x
_atom_site_fract_y
_atom_site_fract_z
Zr1 0.000 0.000 0.000
Pd1 0.000 0.000 0.203
Pd2 0.000 0.500 0.000
W1 0.000 0.000 0.408
```

- Total energy: -6.911 eV/atom
- Total moment: 0.0 Bohr magnetons per cell